DFT (meta-GGA SCAN) results for a crystal of AlTc2P relaxed with PBEsol.

Cell and atoms, written as CIF:
```
data_AlTc2P
_chemical_formula_sum 'Al1 Tc2 P1'
_cell_length_a 4.1756
_cell_length_b 4.1756
_cell_length_c 4.1756
_cell_angle_alpha 60.00
_cell_angle_beta 60.00
_cell_angle_gamma 60.00
_symmetry_space_group_name_H-M 'P 1'
_symmetry_Int_Tables_number 1
loop_
_symmetry_equiv_pos_as_xyz
'x,y,z'
loop_
_atom_site_label
_atom_site_fract_x
_atom_site_fract_y
_atom_site_fract_z
P1 0.0000 0.0000 0.0000
Tc1 0.2500 0.2500 0.2500
Tc2 0.7500 0.7500 0.7500
Al1 0.5000 0.5000 0.5000
```

Computed properties:
As for the space-group type: Fm-3m, No. 225. For the calculated volume, the calculation gives 12.87 Å³/atom. The calculation puts the formation energy at -0.324 eV per atom. The offset from the most stable computed form is 0 meV/atom.


DFT (meta-GGA SCAN) results for a crystal of Zr2FeRe relaxed with PBEsol.

Cell and atoms, written as CIF:
```
data_Zr2FeRe
_chemical_formula_sum 'Zr2 Fe1 Re1'
_cell_length_a 3.2013
_cell_length_b 3.2013
_cell_length_c 6.3971
_cell_angle_alpha 90.00
_cell_angle_beta 90.00
_cell_angle_gamma 90.00
_symmetry_space_group_name_H-M 'P 1'
_symmetry_Int_Tables_number 1
loop_
_symmetry_equiv_pos_as_xyz
'x,y,z'
loop_
_atom_site_label
_atom_site_fract_x
_atom_site_fract_y
_atom_site_fract_z
Re1 0.5000 0.5000 0.5000
Fe1 0.5000 0.5000 0.0000
Zr1 0.0000 0.0000 0.7566
Zr2 0.0000 0.0000 0.2434
```

Computed properties:
As for the space-group type: P4/mmm, No. 123. For the calculated volume, the calculation gives 16.39 Å³/atom. The calculation puts the formation energy at -0.233 eV per atom. The offset from the most stable computed form is 9 meV/atom.


DFT (meta-GGA SCAN) results for a crystal of RbSrCuO2 relaxed with PBEsol.

Cell and atoms, written as CIF:
```
data_RbSrCuO2
_chemical_formula_sum 'Rb1 Sr1 Cu1 O2'
_cell_length_a 4.6668
_cell_length_b 4.6668
_cell_length_c 6.0751
_cell_angle_alpha 90.00
_cell_angle_beta 90.00
_cell_angle_gamma 90.00
_symmetry_space_group_name_H-M 'P 1'
_symmetry_Int_Tables_number 1
loop_
_symmetry_equiv_pos_as_xyz
'x,y,z'
loop_
_atom_site_label
_atom_site_fract_x
_atom_site_fract_y
_atom_site_fract_z
O1 0.0000 0.5000 0.0000
O2 0.5000 0.0000 0.0000
Sr1 0.0000 0.0000 0.5000
Cu1 0.5000 0.5000 0.5000
Rb1 0.0000 0.0000 0.0000
```

Computed properties:
As for the space-group type: P4/mmm, No. 123. For the calculated volume, the calculation gives 26.46 Å³/atom. The value obtained for the energy relative to the elements, uncorrected is 565 meV/atom.


DFT (meta-GGA SCAN) results for a crystal of Sc3RhC4 relaxed with PBEsol.

Cell and atoms, written as CIF:
```
data_Sc3RhC4
_chemical_formula_sum 'Sc6 Rh2 C8'
_cell_length_a 5.5695
_cell_length_b 5.5695
_cell_length_c 6.6875
_cell_angle_alpha 83.55
_cell_angle_beta 65.39
_cell_angle_gamma 74.34
_symmetry_space_group_name_H-M 'P 1'
_symmetry_Int_Tables_number 1
loop_
_symmetry_equiv_pos_as_xyz
'x,y,z'
loop_
_atom_site_label
_atom_site_fract_x
_atom_site_fract_y
_atom_site_fract_z
Sc1 0.7599 0.7610 0.0000
Sc2 0.8111 0.0000 0.3777
Sc3 0.3097 0.5000 0.3807
Sc4 0.2401 0.2390 0.0000
Sc5 0.6903 0.5000 0.6193
Sc6 0.1889 0.0000 0.6223
Rh1 0.2704 0.7294 0.0000
Rh2 0.7296 0.2706 0.0000
C1 0.2076 0.5822 0.7450
C2 0.4531 0.0804 0.2567
C3 0.0474 0.4178 0.7450
C4 0.7924 0.4178 0.2550
C5 0.5469 0.9196 0.7433
C6 0.2902 0.9196 0.2567
C7 0.7098 0.0804 0.7433
C8 0.9526 0.5822 0.2550
```

Computed properties:
As for the space-group type: C2/m, No. 12. For the calculated volume, the calculation gives 11.35 Å³/atom. The calculation puts the formation energy at -0.612 eV per atom.


DFT (meta-GGA SCAN) results for a crystal of IrPtBr relaxed with PBEsol.

Cell and atoms, written as CIF:
```
data_IrPtBr
_chemical_formula_sum 'Ir1 Pt1 Br1'
_cell_length_a 2.7918
_cell_length_b 2.9074
_cell_length_c 7.0489
_cell_angle_alpha 84.54
_cell_angle_beta 78.58
_cell_angle_gamma 61.31
_symmetry_space_group_name_H-M 'P 1'
_symmetry_Int_Tables_number 1
loop_
_symmetry_equiv_pos_as_xyz
'x,y,z'
loop_
_atom_site_label
_atom_site_fract_x
_atom_site_fract_y
_atom_site_fract_z
Ir1 0.6650 0.0000 0.6701
Br1 0.0079 0.0000 0.9842
Pt1 0.3272 0.0000 0.3457
```

Computed properties:
As for the space-group type: Fmm2, No. 42. For the calculated volume, the calculation gives 16.40 Å³/atom. The value obtained for the energy relative to the elements, uncorrected is 840 meV/atom. The offset from the most stable computed form is 0 meV/atom.


DFT (meta-GGA SCAN) results for a crystal of Rb6Na4Tl13 relaxed with PBEsol.

Cell and atoms, written as CIF:
```
data_Rb6Na4Tl13
_chemical_formula_sum 'Rb6 Na4 Tl13'
_cell_length_a 10.0251
_cell_length_b 10.0251
_cell_length_c 10.0251
_cell_angle_alpha 109.47
_cell_angle_beta 109.47
_cell_angle_gamma 109.47
_symmetry_space_group_name_H-M 'P 1'
_symmetry_Int_Tables_number 1
loop_
_symmetry_equiv_pos_as_xyz
'x,y,z'
loop_
_atom_site_label
_atom_site_fract_x
_atom_site_fract_y
_atom_site_fract_z
Rb1 0.1710 0.6710 0.5000
Rb2 0.8290 0.3290 0.5000
Rb3 0.6710 0.5000 0.1710
Rb4 0.3290 0.5000 0.8290
Rb5 0.5000 0.8290 0.3290
Rb6 0.5000 0.1710 0.6710
Na1 0.5000 0.0000 0.0000
Na2 0.5000 0.5000 0.5000
Na3 0.0000 0.0000 0.5000
Na4 0.0000 0.5000 0.0000
Tl1 0.1412 0.7614 0.9027
Tl2 0.8588 0.2386 0.0973
Tl3 0.8588 0.7614 0.6202
Tl4 0.1412 0.2386 0.3798
Tl5 0.2386 0.0973 0.8588
Tl6 0.7614 0.9027 0.1412
Tl7 0.2386 0.3798 0.1412
Tl8 0.7614 0.6202 0.8588
Tl9 0.3798 0.1412 0.2386
Tl10 0.6202 0.8588 0.7614
Tl11 0.9027 0.1412 0.7614
Tl12 0.0973 0.8588 0.2386
Tl13 0.0000 0.0000 0.0000
```

Computed properties:
As for the space-group type: Im-3, No. 204. For the calculated volume, the calculation gives 33.72 Å³/atom. The calculation puts the formation energy at -0.242 eV per atom.


DFT (meta-GGA SCAN) results for a crystal of TaBeTe2 relaxed with PBEsol.

Cell and atoms, written as CIF:
```
data_TaBeTe2
_chemical_formula_sum 'Ta1 Be1 Te2'
_cell_length_a 3.5441
_cell_length_b 4.7348
_cell_length_c 6.1850
_cell_angle_alpha 95.18
_cell_angle_beta 90.00
_cell_angle_gamma 111.98
_symmetry_space_group_name_H-M 'P 1'
_symmetry_Int_Tables_number 1
loop_
_symmetry_equiv_pos_as_xyz
'x,y,z'
loop_
_atom_site_label
_atom_site_fract_x
_atom_site_fract_y
_atom_site_fract_z
Be1 0.4637 0.9274 0.3995
Te1 0.0226 0.0452 0.1343
Te2 0.2672 0.5344 0.6531
Ta1 0.7465 0.4930 0.3131
```

Computed properties:
As for the space-group type: Cm, No. 8. For the calculated volume, the calculation gives 23.95 Å³/atom. The value obtained for the energy relative to the elements, uncorrected is 118 meV/atom.


DFT (meta-GGA SCAN) results for a crystal of As3RuAu relaxed with PBEsol.

Cell and atoms, written as CIF:
```
data_As3RuAu
_chemical_formula_sum 'As3 Ru1 Au1'
_cell_length_a 4.8425
_cell_length_b 4.8425
_cell_length_c 4.8425
_cell_angle_alpha 90.00
_cell_angle_beta 90.00
_cell_angle_gamma 90.00
_symmetry_space_group_name_H-M 'P 1'
_symmetry_Int_Tables_number 1
loop_
_symmetry_equiv_pos_as_xyz
'x,y,z'
loop_
_atom_site_label
_atom_site_fract_x
_atom_site_fract_y
_atom_site_fract_z
Ru1 0.5000 0.5000 0.5000
As1 0.0000 0.5000 0.0000
As2 0.0000 0.0000 0.5000
As3 0.5000 0.0000 0.0000
Au1 0.0000 0.0000 0.0000
```

Computed properties:
As for the space-group type: Pm-3m, No. 221. For the calculated volume, the calculation gives 22.71 Å³/atom. The calculation puts the formation energy at 1.404 eV per atom.


Q: Among the records above, which one has the lowest calculated volume?
A: Sc3RhC4


Q: calculated volume of number 1 (AlTc2P)?
A: 12.87 Å³/atom


Q: What is the calculated volume in the sixth record?
A: 33.72 Å³/atom


Q: What is the calculated volume in the third record?
A: 26.46 Å³/atom